(1)
The following is a PBE calculation of a geometry-optimized PrThOs structure, from the Open Quantum Materials Database.

abc: 4.875 4.875 4.875
angles: 60.00 60.00 60.00
Fractional coordinates of all 3 atoms:
Pr 0.000 0.000 0.000
Th 0.750 0.750 0.750
Os 0.500 0.500 0.500

Results
calculated volume: 81.9 Å³ per cell
total magnetization: 0.0 μB per cell
formation energy from the elements: 669 meV per atom
crystal system: cubic

---

(2)
The following is a PBE calculation of a geometry-optimized SmDyEr2Al2 structure, from the Open Quantum Materials Database.

abc: 5.232 5.232 6.640
angles: 90.00 90.00 120.00
Fractional coordinates of all 6 atoms:
Sm 0.000 0.000 0.000
Dy 0.333 0.667 0.500
Er 0.667 0.333 0.252
Er 0.667 0.333 0.748
Al 0.000 0.000 0.500
Al 0.333 0.667 0.000

Results
final energy: -4.593 eV per atom
calculated volume: 157.4 Å³ per cell
total magnetization: 0.0 μB per cell
crystal system: hexagonal